Record 1
The following is a PBE calculation of an optimized crystal structure of ScZnFeSn, from OQMD.

```
4
Lattice="0.000 3.198 3.198 3.198 0.000 3.198 3.198 3.198 0.000" Properties=species:S:1:pos:R:3 pbc="T T T"
Sc 0.000 0.000 0.000
Zn 1.599 1.599 1.599
Fe 4.796 4.796 4.796
Sn 3.198 3.198 3.198
```

Calculated values
crystal system	cubic
magnetic moment	0.3574	μB per atom
distance to the lowest polymorph of the same formula	0.000	eV per formula unit



Record 2
The following is a PBE calculation of an optimized crystal structure of ScZnFeSn, from OQMD.

```
4
Lattice="0.000 3.278 3.278 3.278 0.000 3.278 3.278 3.278 0.000" Properties=species:S:1:pos:R:3 pbc="T T T"
Sc 0.000 0.000 0.000
Zn 3.278 3.278 3.278
Fe 1.639 1.639 1.639
Sn 4.917 4.917 4.917
```

Calculated values
crystal system	cubic
magnetic moment	0.4470	μB per atom
distance to the lowest polymorph of the same formula	0.510	eV per formula unit



Record 3
The following is a PBE calculation of an optimized crystal structure of ZrScFeSn, from OQMD.

```
4
Lattice="0.000 3.306 3.306 3.306 0.000 3.306 3.306 3.306 0.000" Properties=species:S:1:pos:R:3 pbc="T T T"
Zr 0.000 0.000 0.000
Sc 1.653 1.653 1.653
Fe 4.960 4.960 4.960
Sn 3.306 3.306 3.306
```

Calculated values
crystal system	cubic
magnetic moment	0.2441	μB per atom
distance to the lowest polymorph of the same formula	0.000	eV per formula unit



Record 4
The following is a PBE calculation of an optimized crystal structure of Sr2ScFe, from OQMD.

```
4
Lattice="0.000 3.740 3.740 3.740 0.000 3.740 3.740 3.740 0.000" Properties=species:S:1:pos:R:3 pbc="T T T"
Sr 0.000 0.000 0.000
Sr 1.870 1.870 1.870
Sc 3.740 3.740 3.740
Fe 5.610 5.610 5.610
```

Calculated values
crystal system	cubic
magnetic moment	0.3411	μB per atom
distance to the lowest polymorph of the same formula	0.000	eV per formula unit



Record 5
The following is a PBE calculation of an optimized crystal structure of ScTaTlFe, from OQMD.

```
4
Lattice="0.000 3.265 3.265 3.265 0.000 3.265 3.265 3.265 0.000" Properties=species:S:1:pos:R:3 pbc="T T T"
Sc 0.000 0.000 0.000
Ta 4.897 4.897 4.897
Tl 1.632 1.632 1.632
Fe 3.265 3.265 3.265
```

Calculated values
crystal system	cubic
magnetic moment	0.2482	μB per atom
distance to the lowest polymorph of the same formula	0.000	eV per formula unit



Record 6
The following is a PBE calculation of an optimized crystal structure of ScTaZnFe, from OQMD.

```
4
Lattice="0.000 3.123 3.123 3.123 0.000 3.123 3.123 3.123 0.000" Properties=species:S:1:pos:R:3 pbc="T T T"
Sc 0.000 0.000 0.000
Ta 4.684 4.684 4.684
Zn 1.561 1.561 1.561
Fe 3.123 3.123 3.123
```

Calculated values
crystal system	cubic
magnetic moment	0.0007	μB per atom
ΔE_f	0.1	eV/f.u.
distance to the lowest polymorph of the same formula	0.000	eV per formula unit



Record 7
The following is a PBE calculation of an optimized crystal structure of TbScFe, from OQMD.

```
3
Lattice="0.000 3.197 3.197 3.197 0.000 3.197 3.197 3.197 0.000" Properties=species:S:1:pos:R:3 pbc="T T T"
Tb 0.000 0.000 0.000
Sc 3.197 3.197 3.197
Fe 4.796 4.796 4.796
```

Calculated values
crystal system	cubic
magnetic moment	0.0052	μB per atom
ΔE_f	0.5	eV/f.u.
distance to the lowest polymorph of the same formula	0.000	eV per formula unit



Record 8
The following is a PBE calculation of an optimized crystal structure of ScFe2Tc, from OQMD.

```
4
Lattice="0.000 3.016 3.016 3.016 0.000 3.016 3.016 3.016 0.000" Properties=species:S:1:pos:R:3 pbc="T T T"
Sc 0.000 0.000 0.000
Fe 1.508 1.508 1.508
Fe 3.016 3.016 3.016
Tc 4.525 4.525 4.525
```

Calculated values
crystal system	cubic
magnetic moment	0.7186	μB per atom
ΔE_f	0.4	eV/f.u.



Record 9
The following is a PBE calculation of an optimized crystal structure of ScTlFeTc, from OQMD.

```
4
Lattice="0.000 3.256 3.256 3.256 0.000 3.256 3.256 3.256 0.000" Properties=species:S:1:pos:R:3 pbc="T T T"
Sc 0.000 0.000 0.000
Tl 1.628 1.628 1.628
Fe 3.256 3.256 3.256
Tc 4.885 4.885 4.885
```

Calculated values
crystal system	cubic
magnetic moment	0.8298	μB per atom
distance to the lowest polymorph of the same formula	0.000	eV per formula unit



Record 10
The following is a PBE calculation of an optimized crystal structure of ScTlFeTc, from OQMD.

```
4
Lattice="0.000 3.250 3.250 3.250 0.000 3.250 3.250 3.250 0.000" Properties=species:S:1:pos:R:3 pbc="T T T"
Sc 0.000 0.000 0.000
Tl 3.250 3.250 3.250
Fe 4.875 4.875 4.875
Tc 1.625 1.625 1.625
```

Calculated values
crystal system	cubic
magnetic moment	0.6836	μB per atom
distance to the lowest polymorph of the same formula	0.166	eV per formula unit



Record 11
The following is a PBE calculation of an optimized crystal structure of ScZnFeTc, from OQMD.

```
4
Lattice="0.000 3.110 3.110 3.110 0.000 3.110 3.110 3.110 0.000" Properties=species:S:1:pos:R:3 pbc="T T T"
Sc 0.000 0.000 0.000
Zn 3.110 3.110 3.110
Fe 4.665 4.665 4.665
Tc 1.555 1.555 1.555
```

Calculated values
crystal system	cubic
magnetic moment	0.7812	μB per atom
ΔE_f	0.6	eV/f.u.
distance to the lowest polymorph of the same formula	0.296	eV per formula unit



Record 12
The following is a PBE calculation of an optimized crystal structure of ScZnFeTc, from OQMD.

```
4
Lattice="0.000 3.106 3.106 3.106 0.000 3.106 3.106 3.106 0.000" Properties=species:S:1:pos:R:3 pbc="T T T"
Sc 0.000 0.000 0.000
Zn 1.553 1.553 1.553
Fe 3.106 3.106 3.106
Tc 4.659 4.659 4.659
```

Calculated values
crystal system	cubic
magnetic moment	0.5013	μB per atom
ΔE_f	0.3	eV/f.u.
distance to the lowest polymorph of the same formula	0.000	eV per formula unit



Question: Which value of magnetic moment does entry 3 give?
Answer: 0.2441 μB per atom



Question: Among the records above, which one has the highest magnetic moment?
Answer: number 9



Question: Which value of magnetic moment does entry 1 give?
Answer: 0.3574 μB per atom